Entry 1:
A plane-wave DFT calculation with GGA-PBE was carried out for a relaxed CrAgHI2 crystal.

a b c (Å): 5.595 5.595 3.724
angles (deg): 90.00 90.00 90.00
Atoms (fractional coordinates):
Cr 0.000 0.000 0.000
Ag 0.500 0.500 0.500
H 0.000 0.000 0.500
I 0.000 0.500 0.000
I 0.500 0.000 0.000

Calculated values
As for the total energy: -3.662 eV/atom. The value obtained for the mass density is 5.91 g/cm3.

Entry 2:
A plane-wave DFT calculation with GGA-PBE was carried out for a relaxed TbGdZnSn crystal.

a b c (Å): 7.382 7.382 7.382
angles (deg): 90.00 90.00 90.00
Atoms (fractional coordinates):
Tb 0.000 0.000 0.000
Tb 0.000 0.500 0.500
Tb 0.500 0.000 0.500
Tb 0.500 0.500 0.000
Gd 0.000 0.000 0.500
Gd 0.000 0.500 0.000
Gd 0.500 0.000 0.000
Gd 0.500 0.500 0.500
Zn 0.250 0.250 0.750
Zn 0.250 0.750 0.250
Zn 0.750 0.250 0.250
Zn 0.750 0.750 0.750
Sn 0.250 0.250 0.250
Sn 0.250 0.750 0.750
Sn 0.750 0.250 0.750
Sn 0.750 0.750 0.250

Calculated values
As for the total energy: -6.511 eV/atom. The calculation puts the formation energy at -0.514 eV/atom. The value obtained for the mass density is 8.26 g/cm3.

Entry 3:
A plane-wave DFT calculation with GGA-PBE was carried out for a relaxed Co2AsOs crystal.

a b c (Å): 2.955 4.155 8.295
angles (deg): 90.00 90.00 90.00
Atoms (fractional coordinates):
Co 0.000 0.000 0.000
Co 0.000 0.500 0.226
Co 0.500 0.000 0.726
Co 0.500 0.500 0.500
As 0.000 0.000 0.514
As 0.500 0.500 0.014
Os 0.000 0.500 0.775
Os 0.500 0.000 0.275

Calculated values
As for the total energy: -7.273 eV/atom. The calculation puts the formation energy at 0.250 eV/atom. The value obtained for the mass density is 12.49 g/cm3.

The highest mass density belongs to which entry?
Co2AsOs

Which value of mass density does entry 1 give?
5.91 g/cm3